Density functional theory data (PBE-GGA) for crystalline AgHg2SbSe4 at its relaxed geometry.

Cell and atoms, written as POSCAR:
```
AgHg2SbSe4
1.0
0.000 4.455 6.312
4.452 0.000 6.312
4.452 4.455 0.000
Ag Hg Sb Se
1 2 1 4
Cartesian
0.000 0.000 0.000
2.226 2.227 3.152
6.678 6.682 9.464
4.452 4.455 6.305
4.452 2.152 4.726
6.749 4.455 7.890
4.452 6.758 4.726
2.156 4.455 7.890
```

Its symmetry is Fmm2 (42). The energy is -2.821 eV per atom.